(1)
First-principles (PBE-GGA) data for YAgGeTeSe2 after structural relaxation, as listed in the Open Quantum Materials Database.

Properties
- calculated volume (Å³/cell) = 308.44
- uncorrected energy (eV per cell) = -56.4
- total moment (μB/cell) = 0.00

a = 7.0855 Å, b = 7.0855 Å, c = 11.2275 Å
α = 90.00°, β = 90.00°, γ = 146.82°
Closest atoms and distances in Å follow each position.
Element x y z (fractional)
Se 0.1416 0.8584 0.9337  1 Ag 2.63, 2 Y 2.89
Ag 0.0220 0.9780 0.7500  2 Se 2.63, 2 Te 2.81
Se 0.8584 0.1416 0.4337  1 Ag 2.63, 2 Y 2.89
Ge 0.7064 0.2936 0.7500  4 Se 3.02, 2 Te 3.09, 2 Ag 3.22
Se 0.1416 0.8584 0.5663  1 Ag 2.63, 2 Y 2.89
Ag 0.9780 0.0220 0.2500  2 Se 2.63, 2 Te 2.81
Se 0.8584 0.1416 0.0663  1 Ag 2.63, 2 Y 2.89
Y 0.5000 0.5000 0.5000  4 Se 2.89
Te 0.6217 0.3783 0.2500  2 Ag 2.81, 2 Ge 3.09
Y 0.5000 0.5000 0.0000  4 Se 2.89
Te 0.3783 0.6217 0.7500  2 Ag 2.81, 2 Ge 3.09
Ge 0.2936 0.7064 0.2500  4 Se 3.02, 2 Te 3.09, 2 Ag 3.22



(2)
First-principles (PBE-GGA) data for YAgGeTe2Se after structural relaxation, as listed in the Open Quantum Materials Database.

Properties
- calculated volume (Å³/cell) = 316.67
- uncorrected energy (eV per cell) = -54.5
- total moment (μB/cell) = 0.02

a = 7.4778 Å, b = 7.4778 Å, c = 10.4876 Å
α = 90.00°, β = 90.00°, γ = 147.32°
Closest atoms and distances in Å follow each position.
Element x y z (fractional)
Se 0.4039 0.5961 0.7500  2 Ag 2.67, 2 Y 2.96
Ag 0.9821 0.0179 0.2500  2 Se 2.67, 2 Te 2.79
Y 0.5000 0.5000 0.5000  2 Se 2.96, 4 Te 3.13
Te 0.8447 0.1553 0.4383  1 Ag 2.79
Te 0.1553 0.8447 0.9383  1 Ag 2.79
Se 0.5961 0.4039 0.2500  2 Ag 2.67, 2 Y 2.96
Ag 0.0179 0.9821 0.7500  2 Se 2.67, 2 Te 2.79
Ge 0.7426 0.2574 0.7500  2 Se 3.13, 4 Te 3.15
Ge 0.2574 0.7426 0.2500  2 Se 3.13, 4 Te 3.15
Te 0.1553 0.8447 0.5617  1 Ag 2.79
Y 0.5000 0.5000 0.0000  2 Se 2.96, 4 Te 3.13
Te 0.8447 0.1553 0.0617  1 Ag 2.79